VASP calculation (SCAN) on Li2SiRh at its PBEsol-relaxed geometry.

- ρ (g/cm³) = 4.82
- E_tot (eV/atom) = -12.661
- V (A^3/atom) = 12.47

abc: 5.0432 5.0432 5.0432
angles: 147.40 133.33 58.09
Sites, in units of the cell vectors:
Li 0.2495 0.2495 0.0000
Li 0.7505 0.7505 0.0000
Si 0.5000 0.0000 0.5000
Rh 0.0000 0.5000 0.5000

=====

VASP calculation (SCAN) on CrNiHg3 at its PBEsol-relaxed geometry.

- ρ (g/cm³) = 9.08
- ΔH_f (0 K) (eV/f.u.) = 4.976
- V (A^3/atom) = 26.07

abc: 5.0703 5.0703 5.0703
angles: 90.00 90.00 90.00
Sites, in units of the cell vectors:
Cr 0.0000 0.0000 0.0000
Ni 0.5000 0.5000 0.5000
Hg 0.0000 0.0000 0.5000
Hg 0.0000 0.5000 0.0000
Hg 0.5000 0.0000 0.0000